1.
A relaxed structure of LiSbS4. Source: Alexandria via LeMat-Bulk, functional GGA-PBE.

Properties
DFT total energy	-4.06	eV per atom
formation energy without anion corrections	-1.8	eV per formula unit
D(E_F)	0.077	states/eV per atom

a b c (Å): 5.226 4.127 6.651
angles (deg): 90.00 105.82 90.00
Space group P2/m (No. 10)
Asymmetric unit:
Li 0.000 0.000 0.000 x1
Sb 0.500 0.500 0.500 x1
S 0.122 0.000 0.401 x2
S 0.339 0.500 0.064 x2

=====

2.
A relaxed structure of Li2SbS3. Source: Alexandria via LeMat-Bulk, functional GGA-PBE.

Properties
DFT total energy	-4.15	eV per atom
formation energy without anion corrections	-4.6	eV per formula unit
D(E_F)	0.137	states/eV per atom

a b c (Å): 6.609 11.287 6.495
angles (deg): 90.00 110.73 90.00
Space group C2/c (No. 15)
Asymmetric unit:
Li 0.000 0.090 0.250 x4
Li 0.000 0.265 0.750 x4
Sb 0.000 0.416 0.250 x4
S 0.242 0.425 0.003 x8
S 0.250 0.250 0.500 x4